No. 1
{
  "formula": "Ac12Ge6O",
  "functional": "PBE-GGA",
  "state": "relaxed",
  "lattice_angstrom": [[-3.1621, 3.0050, 7.8174], [5.1262, -6.6973, 3.0016], [6.3536, 6.1408, -1.4367]],
  "species": ["Ac", "Ac", "Ac", "Ac", "Ac", "Ac", "Ac", "Ac", "Ac", "Ac", "Ac", "Ac", "Ge", "Ge", "Ge", "Ge", "Ge", "Ge", "O"],
  "frac_coords": [[0.0736, 0.9736, 0.3085], [0.1839, 0.4240, 0.5614], [0.6915, 0.9264, 0.0264], [0.4240, 0.5614, 0.1839], [0.5614, 0.1839, 0.4240], [0.3085, 0.0736, 0.9736], [0.8161, 0.5760, 0.4386], [0.9736, 0.3085, 0.0736], [0.4386, 0.8161, 0.5760], [0.5760, 0.4386, 0.8161], [0.9264, 0.0264, 0.6915], [0.0264, 0.6915, 0.9264], [0.2924, 0.1226, 0.6304], [0.3696, 0.7076, 0.8774], [0.6304, 0.2924, 0.1226], [0.7076, 0.8774, 0.3696], [0.8774, 0.3696, 0.7076], [0.1226, 0.6304, 0.2924], [0.0000, 0.0000, 0.0000]],
  "raw_formation_energy_ev_per_atom": -0.6466,
  "dos_ef_per_ev_atom": 0.99,
  "sg": "R-3 (148)"
}

***

No. 2
{
  "formula": "Ca2TiSiSn",
  "functional": "PBE-GGA",
  "state": "relaxed",
  "lattice_angstrom": [[5.5218, 0.0000, 0.0000], [0.0000, 5.5218, 0.0000], [0.0000, 0.0000, 5.1467]],
  "species": ["Ti", "Sn", "Ca", "Ca", "Si"],
  "frac_coords": [[0.5000, 0.5000, 0.5000], [0.0000, 0.0000, 0.5000], [0.0000, 0.5000, 0.0000], [0.5000, 0.0000, 0.0000], [0.0000, 0.0000, 0.0000]],
  "raw_formation_energy_ev_per_atom": 0.5602,
  "dos_ef_per_ev_atom": 1.54,
  "sg": "P4/mmm (123)"
}

***

No. 3
{
  "formula": "BeAsSe2",
  "functional": "PBE-GGA",
  "state": "relaxed",
  "lattice_angstrom": [[3.0636, 0.0000, 0.0000], [0.0000, 3.0636, 0.0000], [0.0000, 0.0000, 8.1881]],
  "species": ["As", "Se", "Se", "Be"],
  "frac_coords": [[0.0000, 0.0000, 0.5800], [0.0000, 0.0000, 0.8920], [0.5000, 0.5000, 0.2592], [0.5000, 0.5000, 0.7689]],
  "raw_formation_energy_ev_per_atom": 0.2768,
  "polymorph_energy_mev_per_atom": 393,
  "dos_ef_per_ev_atom": 0.48,
  "sg": "P4mm (99)"
}

***

No. 4
{
  "formula": "PmY4Ho2",
  "functional": "PBE-GGA",
  "state": "relaxed",
  "lattice_angstrom": [[3.5272, -0.2546, 0.3166], [-2.6404, 8.3496, -3.5599], [0.9436, -1.1718, 8.4087]],
  "species": ["Y", "Y", "Y", "Y", "Pm", "Ho", "Ho"],
  "frac_coords": [[0.8093, 0.1677, 0.7187], [0.5896, 0.2938, 0.4099], [0.1907, 0.8323, 0.2813], [0.4104, 0.7062, 0.5901], [0.0000, 0.0000, 0.0000], [0.3603, 0.4302, 0.1404], [0.6397, 0.5698, 0.8596]],
  "polymorph_energy_mev_per_atom": 0,
  "formation_energy_mev_per_atom": 28.0,
  "dos_ef_per_ev_atom": 1.58,
  "sg": "P-1 (2)"
}

***

No. 5
{
  "formula": "CsBaAu4O6",
  "functional": "PBE-GGA",
  "state": "relaxed",
  "lattice_angstrom": [[5.6752, 0.0000, 0.0000], [-2.8376, 4.9149, 0.0000], [0.0000, 0.0000, 7.9803]],
  "species": ["Cs", "O", "O", "O", "O", "O", "O", "Au", "Au", "Au", "Au", "Ba"],
  "frac_coords": [[0.0000, 0.0000, 0.0000], [0.5000, 0.0000, 0.5863], [0.5000, 0.5000, 0.5863], [0.5000, 0.0000, 0.4137], [0.0000, 0.5000, 0.4137], [0.0000, 0.5000, 0.5863], [0.5000, 0.5000, 0.4137], [0.6667, 0.3333, 0.8364], [0.3333, 0.6667, 0.8364], [0.3333, 0.6667, 0.1636], [0.6667, 0.3333, 0.1636], [0.0000, 0.0000, 0.5000]],
  "raw_formation_energy_ev_per_atom": -0.2249,
  "dos_ef_per_ev_atom": 0.36,
  "sg": "P6/mmm (191)"
}

***

No. 6
{
  "formula": "Dy6CBr12",
  "functional": "PBE-GGA",
  "state": "relaxed",
  "lattice_angstrom": [[8.2132, 0.3777, 1.8781], [1.5787, 8.0689, 1.8781], [0.4378, 0.3777, 8.4138]],
  "species": ["Br", "Br", "Br", "Br", "Br", "Br", "Br", "Br", "Br", "Br", "Br", "Br", "Dy", "Dy", "Dy", "Dy", "Dy", "Dy", "C"],
  "frac_coords": [[0.4359, 0.4359, 0.8312], [0.1688, 0.5641, 0.5641], [0.4359, 0.8312, 0.4359], [0.8817, 0.8817, 0.4275], [0.1183, 0.5725, 0.1183], [0.4275, 0.8817, 0.8817], [0.8817, 0.4275, 0.8817], [0.5641, 0.5641, 0.1688], [0.1183, 0.1183, 0.5725], [0.5725, 0.1183, 0.1183], [0.5641, 0.1688, 0.5641], [0.8312, 0.4359, 0.4359], [0.7924, 0.1712, 0.7924], [0.2076, 0.8288, 0.2076], [0.8288, 0.2076, 0.2076], [0.1712, 0.7924, 0.7924], [0.2076, 0.2076, 0.8288], [0.7924, 0.7924, 0.1712], [0.0000, 0.0000, 0.0000]],
  "raw_formation_energy_ev_per_atom": -1.3487,
  "dos_ef_per_ev_atom": 0.03,
  "sg": "R-3m (166)"
}

***

No. 7
{
  "formula": "Tm2ReC2",
  "functional": "PBE-GGA",
  "state": "relaxed",
  "lattice_angstrom": [[5.0342, 0.0000, 0.0000], [0.0000, 6.5133, 0.0000], [0.0000, 0.0000, 9.7317]],
  "species": ["Re", "Re", "Re", "Re", "C", "C", "C", "C", "C", "C", "C", "C", "Tm", "Tm", "Tm", "Tm", "Tm", "Tm", "Tm", "Tm"],
  "frac_coords": [[0.7500, 0.2169, 0.3690], [0.2500, 0.7831, 0.6310], [0.7500, 0.7169, 0.1310], [0.2500, 0.2831, 0.8690], [0.2500, 0.6735, 0.4462], [0.7500, 0.3265, 0.5538], [0.7500, 0.8265, 0.9462], [0.2500, 0.1735, 0.0538], [0.2500, 0.5505, 0.7591], [0.7500, 0.9495, 0.2591], [0.7500, 0.4495, 0.2409], [0.2500, 0.0505, 0.7409], [0.2500, 0.8229, 0.9430], [0.7500, 0.5344, 0.7830], [0.2500, 0.9656, 0.2830], [0.2500, 0.3229, 0.5570], [0.2500, 0.4656, 0.2170], [0.7500, 0.6771, 0.4430], [0.7500, 0.1771, 0.0570], [0.7500, 0.0344, 0.7170]],
  "formation_energy_mev_per_atom": -462.3,
  "dos_ef_per_ev_atom": 0.47,
  "sg": "Pnma (62)"
}

***

No. 8
{
  "formula": "BaCo2As",
  "functional": "PBE-GGA",
  "state": "relaxed",
  "lattice_angstrom": [[-2.0434, -1.0425, 3.2146], [-2.4580, -3.0654, -2.5566], [3.4635, -3.6345, 1.0230]],
  "species": ["Co", "Co", "As", "Ba"],
  "frac_coords": [[0.0000, 0.9861, 0.2496], [0.0000, 0.5139, 0.2504], [0.5000, 0.2500, 0.2500], [0.5000, 0.7500, 0.7500]],
  "formation_energy_mev_per_atom": -26.1,
  "dos_ef_per_ev_atom": 1.10,
  "sg": "Pmmm (47)"
}

***

No. 9
{
  "formula": "Sr3AlP3",
  "functional": "PBE-GGA",
  "state": "relaxed",
  "lattice_angstrom": [[6.4733, 0.0000, 0.0000], [-3.2367, 9.3863, 0.0000], [0.0000, 0.0000, 12.4346]],
  "species": ["P", "P", "P", "P", "P", "P", "P", "P", "P", "P", "P", "P", "Al", "Al", "Al", "Al", "Sr", "Sr", "Sr", "Sr", "Sr", "Sr", "Sr", "Sr", "Sr", "Sr", "Sr", "Sr"],
  "frac_coords": [[0.7934, 0.0000, 0.1001], [0.8588, 0.3153, 0.3810], [0.0435, 0.6847, 0.1190], [0.7066, 0.0000, 0.6001], [0.1412, 0.6847, 0.6190], [0.5435, 0.6847, 0.3810], [0.2066, 0.0000, 0.8999], [0.4565, 0.3153, 0.6190], [0.9565, 0.3153, 0.8810], [0.3588, 0.3153, 0.1190], [0.6412, 0.6847, 0.8810], [0.2934, 0.0000, 0.3999], [0.9159, 0.8317, 0.0000], [0.0841, 0.1683, 0.0000], [0.4159, 0.8317, 0.5000], [0.5841, 0.1683, 0.5000], [0.5081, 0.6452, 0.1314], [0.8312, 0.0000, 0.3478], [0.8628, 0.3548, 0.1314], [0.4919, 0.3548, 0.8686], [0.1688, 0.0000, 0.6522], [0.6688, 0.0000, 0.8478], [0.1372, 0.6452, 0.8686], [0.3628, 0.3548, 0.3686], [0.9919, 0.3548, 0.6314], [0.0081, 0.6452, 0.3686], [0.6372, 0.6452, 0.6314], [0.3312, 0.0000, 0.1522]],
  "formation_energy_mev_per_atom": -1058.6,
  "sg": "Cmce (64)"
}

***

No. 10
{
  "formula": "SrMn2Au",
  "functional": "PBE-GGA",
  "state": "relaxed",
  "lattice_angstrom": [[-0.0561, -2.6756, -2.3830], [3.1135, -1.0725, 1.1308], [-0.0515, -5.2394, 5.8839]],
  "species": ["Au", "Mn", "Mn", "Sr"],
  "frac_coords": [[0.5000, 0.6936, 0.8062], [0.0000, 0.0012, 0.9986], [0.5000, 0.3137, 0.1865], [0.0000, 0.4914, 0.5087]],
  "formation_energy_mev_per_atom": 216.6,
  "dos_ef_per_ev_atom": 0.69,
  "sg": "Pmm2 (25)"
}

***

No. 11
{
  "formula": "TlAgAs",
  "functional": "PBE-GGA",
  "state": "relaxed",
  "lattice_angstrom": [[4.6546, 0.0000, 0.0000], [0.0000, 7.1898, 0.0000], [0.0000, 0.0000, 12.7830]],
  "species": ["Ag", "Ag", "Ag", "Ag", "Ag", "Ag", "As", "As", "As", "As", "As", "As", "Tl", "Tl", "Tl", "Tl", "Tl", "Tl"],
  "frac_coords": [[0.5000, 0.5948, 0.8704], [0.5000, 0.5948, 0.6296], [0.5000, 0.2499, 0.7500], [0.5000, 0.4052, 0.3704], [0.5000, 0.4052, 0.1296], [0.5000, 0.7501, 0.2500], [0.5000, 0.9658, 0.9027], [0.5000, 0.0342, 0.0973], [0.0000, 0.5230, 0.2500], [0.5000, 0.9658, 0.5973], [0.5000, 0.0342, 0.4027], [0.0000, 0.4770, 0.7500], [0.0000, 0.9037, 0.7500], [0.0000, 0.0963, 0.2500], [0.0000, 0.2696, 0.9663], [0.0000, 0.7304, 0.0337], [0.0000, 0.2696, 0.5337], [0.0000, 0.7304, 0.4663]],
  "polymorph_energy_mev_per_atom": 55,
  "formation_energy_mev_per_atom": 126.7,
  "dos_ef_per_ev_atom": 0.40,
  "sg": "Pmma (51)"
}

***

No. 12
{
  "formula": "Na2NpPt9",
  "functional": "PBE-GGA",
  "state": "relaxed",
  "lattice_angstrom": [[-3.0215, 1.0648, 4.2861], [-2.7904, -3.9169, 2.3463], [4.9589, -2.6923, 7.5049]],
  "species": ["Pt", "Pt", "Pt", "Pt", "Pt", "Pt", "Pt", "Pt", "Pt", "Np", "Na", "Na"],
  "frac_coords": [[0.9177, 0.4146, 0.2530], [0.5000, 0.5000, 0.5000], [0.3328, 0.3328, 0.0015], [0.6672, 0.6672, 0.9985], [0.4146, 0.4146, 0.2530], [0.5854, 0.5854, 0.7470], [0.5854, 0.0823, 0.7470], [0.0823, 0.5854, 0.7470], [0.4146, 0.9177, 0.2530], [0.0000, 0.0000, 0.0000], [0.8548, 0.8548, 0.4357], [0.1452, 0.1452, 0.5643]],
  "formation_energy_mev_per_atom": -369.9,
  "dos_ef_per_ev_atom": 1.33,
  "sg": "R-3m (166)"
}

***

No. 13
{
  "formula": "Na2PaCl5",
  "functional": "PBE-GGA",
  "state": "relaxed",
  "lattice_angstrom": [[-4.7050, -5.7527, 1.8324], [3.1648, -0.3939, 6.8910], [-2.9564, 7.2813, -0.7167]],
  "species": ["Cl", "Cl", "Cl", "Cl", "Cl", "Pa", "Na", "Na"],
  "frac_coords": [[0.8545, 0.2900, 0.1847], [0.2698, 0.7800, 0.0614], [0.7916, 0.7800, 0.0614], [0.8076, 0.9938, 0.6152], [0.3302, 0.2900, 0.1847], [0.0020, 0.0217, 0.0039], [0.0992, 0.5727, 0.1985], [0.6221, 0.0488, 0.2442]],
  "raw_formation_energy_ev_per_atom": -1.6410,
  "polymorph_energy_mev_per_atom": 86,
  "dos_ef_per_ev_atom": 0.37,
  "sg": "Cm (8)"
}

***

No. 14
{
  "formula": "CaPu2WN4",
  "functional": "PBE-GGA",
  "state": "relaxed",
  "lattice_angstrom": [[3.3293, 0.0000, 0.0000], [-1.6646, 6.0071, 0.0000], [0.0000, 0.0000, 12.2733]],
  "species": ["Pu", "Pu", "Pu", "Pu", "N", "N", "N", "N", "N", "N", "N", "N", "W", "W", "Ca", "Ca"],
  "frac_coords": [[0.6301, 0.2602, 0.0391], [0.3699, 0.7398, 0.5391], [0.6301, 0.2602, 0.4609], [0.3699, 0.7398, 0.9609], [0.7353, 0.4706, 0.6206], [0.2647, 0.5294, 0.1206], [0.0000, 0.0000, 0.5000], [0.5692, 0.1383, 0.2500], [0.0000, 0.0000, 0.0000], [0.4308, 0.8617, 0.7500], [0.7353, 0.4706, 0.8794], [0.2647, 0.5294, 0.3794], [0.8228, 0.6457, 0.7500], [0.1772, 0.3543, 0.2500], [0.0821, 0.1641, 0.7500], [0.9179, 0.8359, 0.2500]],
  "raw_formation_energy_ev_per_atom": -0.8601,
  "dos_ef_per_ev_atom": 1.29,
  "sg": "Cmcm (63)"
}

***

No. 15
{
  "formula": "MgAg2I",
  "functional": "PBE-GGA",
  "state": "relaxed",
  "lattice_angstrom": [[-0.7860, -3.9290, 3.2416], [1.4255, 0.4070, 4.9361], [-3.5759, 0.3811, 3.6919]],
  "species": ["Mg", "I", "Ag", "Ag"],
  "frac_coords": [[0.0000, 0.0000, 0.0000], [0.5000, 0.5000, 0.5000], [0.7500, 0.7500, 0.7500], [0.2500, 0.2500, 0.2500]],
  "raw_formation_energy_ev_per_atom": 0.3293,
  "polymorph_energy_mev_per_atom": 171,
  "dos_ef_per_ev_atom": 1.42,
  "sg": "Fm-3m (225)"
}

***

No. 16
{
  "formula": "HfGaSb2Cl",
  "functional": "PBE-GGA",
  "state": "relaxed",
  "lattice_angstrom": [[5.4475, 0.0000, 0.0000], [0.0000, 5.4896, 0.0000], [0.0000, 0.0000, 5.4475]],
  "species": ["Cl", "Sb", "Sb", "Ga", "Hf"],
  "frac_coords": [[0.5000, 0.5000, 0.5000], [0.5000, 0.0000, 0.0000], [0.0000, 0.0000, 0.5000], [0.0000, 0.5000, 0.0000], [0.0000, 0.0000, 0.0000]],
  "raw_formation_energy_ev_per_atom": 0.1395,
  "dos_ef_per_ev_atom": 0.54,
  "sg": "P4/mmm (123)"
}

***

No. 17
{
  "formula": "PmPuRh2",
  "functional": "PBE-GGA",
  "state": "relaxed",
  "lattice_angstrom": [[4.9103, 0.0000, 0.0000], [2.4551, 4.2524, 0.0000], [2.4551, 1.4175, 4.0092]],
  "species": ["Pm", "Rh", "Rh", "Pu"],
  "frac_coords": [[0.5000, 0.5000, 0.5000], [0.7500, 0.7500, 0.7500], [0.2500, 0.2500, 0.2500], [0.0000, 0.0000, 0.0000]],
  "polymorph_energy_mev_per_atom": 24,
  "formation_energy_mev_per_atom": -524.3,
  "dos_ef_per_ev_atom": 2.58,
  "sg": "Fm-3m (225)"
}

***

No. 18
{
  "formula": "ScGaCuTc2",
  "functional": "PBE-GGA",
  "state": "relaxed",
  "lattice_angstrom": [[4.5631, 0.0000, 0.0000], [0.0000, 4.5983, 0.0000], [0.0000, 0.0000, 4.5631]],
  "species": ["Tc", "Tc", "Ga", "Cu", "Sc"],
  "frac_coords": [[0.5000, 0.0000, 0.0000], [0.0000, 0.0000, 0.5000], [0.5000, 0.5000, 0.5000], [0.0000, 0.0000, 0.0000], [0.0000, 0.5000, 0.0000]],
  "formation_energy_mev_per_atom": 958.7,
  "dos_ef_per_ev_atom": 1.15,
  "sg": "P4/mmm (123)"
}

***

No. 19
{
  "formula": "BaTaOs2",
  "functional": "PBE-GGA",
  "state": "relaxed",
  "lattice_angstrom": [[3.2076, 0.0000, 0.0000], [0.0000, 3.2076, 0.0000], [0.0000, 0.0000, 7.9870]],
  "species": ["Ba", "Ta", "Os", "Os"],
  "frac_coords": [[0.5000, 0.5000, 0.7500], [0.5000, 0.5000, 0.2500], [0.0000, 0.0000, 0.0639], [0.0000, 0.0000, 0.4361]],
  "polymorph_energy_mev_per_atom": 0,
  "formation_energy_mev_per_atom": 353.6,
  "dos_ef_per_ev_atom": 0.99,
  "sg": "P4/mmm (123)"
}

***

No. 20
{
  "formula": "Tb3Mg7Sc2",
  "functional": "PBE-GGA",
  "state": "relaxed",
  "lattice_angstrom": [[5.3045, 0.0000, 0.0000], [0.0000, 5.1051, 0.0000], [0.0000, -2.5526, 11.8434]],
  "species": ["Mg", "Mg", "Mg", "Mg", "Mg", "Mg", "Mg", "Sc", "Sc", "Tb", "Tb", "Tb"],
  "frac_coords": [[0.0000, 0.4220, 0.8441], [0.5000, 0.9219, 0.8439], [0.0000, 0.5780, 0.1559], [0.0000, 0.7291, 0.4581], [0.0000, 0.0000, 0.0000], [0.5000, 0.0781, 0.1561], [0.0000, 0.2709, 0.5419], [0.0000, 0.1444, 0.2889], [0.0000, 0.8556, 0.7111], [0.5000, 0.6685, 0.3369], [0.5000, 0.3315, 0.6631], [0.5000, 0.5000, 0.0000]],
  "formation_energy_mev_per_atom": 126.1,
  "dos_ef_per_ev_atom": 0.99,
  "sg": "Cmmm (65)"
}

***

No. 21
{
  "formula": "NaLaPm",
  "functional": "PBE-GGA",
  "state": "relaxed",
  "lattice_angstrom": [[3.6587, 0.0000, 0.0000], [-1.8294, 3.1686, 0.0000], [0.0000, 0.0000, 9.4111]],
  "species": ["La", "Pm", "Na"],
  "frac_coords": [[0.3333, 0.6667, 0.6517], [0.6667, 0.3333, 0.3447], [0.0000, 0.0000, 0.0036]],
  "polymorph_energy_mev_per_atom": 23,
  "formation_energy_mev_per_atom": 104.7,
  "dos_ef_per_ev_atom": 1.17,
  "sg": "P3m1 (156)"
}

***

No. 22
{
  "formula": "Sr2HoUO6",
  "functional": "PBE-GGA",
  "state": "relaxed",
  "lattice_angstrom": [[0.0000, 4.3422, 4.3422], [4.3422, 0.0000, 4.3422], [4.3422, 4.3422, 0.0000]],
  "species": ["O", "O", "O", "O", "O", "O", "Sr", "Sr", "Ho", "U"],
  "frac_coords": [[0.7541, 0.2459, 0.7541], [0.7541, 0.7541, 0.2459], [0.2459, 0.7541, 0.7541], [0.7541, 0.2459, 0.2459], [0.2459, 0.7541, 0.2459], [0.2459, 0.2459, 0.7541], [0.7500, 0.7500, 0.7500], [0.2500, 0.2500, 0.2500], [0.5000, 0.5000, 0.5000], [0.0000, 0.0000, 0.0000]],
  "raw_formation_energy_ev_per_atom": -3.1692,
  "polymorph_energy_mev_per_atom": 121,
  "sg": "Fm-3m (225)"
}